No. 1
Compound: CoTc2AuO
Source: the Alexandria database
Functional: meta-GGA SCAN
Structure: PBEsol geometry

Cell lengths 3.8445, 3.8445, 4.6299 Å; angles 90.00, 90.00, 90.00 degrees
Last column: nearest neighbours and their distance in Å.
Space group P4/mmm (No. 123)
Unique sites:
Co (0.0000, 0.0000, 0.0000)  4 Au 2.72, 8 Tc 3.01
Tc (0.0000, 0.5000, 0.5000)  2 O 1.92
Au (0.5000, 0.5000, 0.0000)  2 O 2.31
O (0.5000, 0.5000, 0.5000)  4 Tc 1.92

Calculated values
ΔE_f (raw): 0.47 eV per atom
magnetization: 4.9 μB/cell


No. 2
Compound: CoOs2Au
Source: the Alexandria database
Functional: meta-GGA SCAN
Structure: PBEsol geometry

Cell lengths 3.7418, 3.7418, 7.8257 Å; angles 90.00, 90.00, 90.00 degrees
Last column: nearest neighbours and their distance in Å.
Space group I4/mmm (No. 139)
Unique sites:
Co (0.0000, 0.0000, 0.0000)  4 Au 2.65, 8 Os 2.71
Os (0.0000, 0.5000, 0.2500)  4 Os 2.65, 4 Co 2.71, 4 Au 2.71
Au (0.0000, 0.0000, 0.5000)  4 Co 2.65, 8 Os 2.71

Calculated values
E_form: 0.561 eV per atom
magnetization: 4.7 μB/cell
excess energy over the best structure of this formula in the dataset: 0.51 eV/f.u.


No. 3
Compound: Co2OsAu
Source: the Alexandria database
Functional: meta-GGA SCAN
Structure: PBEsol geometry

Cell lengths 5.3810, 7.2465, 2.6357 Å; angles 90.00, 90.00, 90.00 degrees
Last column: nearest neighbours and their distance in Å.
Space group Cmmm (No. 65)
Unique sites:
Co (0.2500, 0.2500, 0.0000)  4 Os 2.61, 4 Au 2.61, 4 Co 2.64-2.69
Os (0.0000, 0.0000, 0.5000)  8 Co 2.61, 2 Os 2.64, 2 Au 2.69
Au (0.0000, 0.5000, 0.5000)  8 Co 2.61, 2 Au 2.64, 2 Os 2.69

Calculated values
E_form: 0.333 eV per atom
magnetization: 7.9 μB/cell
excess energy over the best structure of this formula in the dataset: 0.09 eV/f.u.


No. 4
Compound: CoOs2Au
Source: the Alexandria database
Functional: meta-GGA SCAN
Structure: PBEsol geometry

Cell lengths 2.6561, 3.6783, 5.6807 Å; angles 90.00, 90.00, 90.00 degrees
Last column: nearest neighbours and their distance in Å.
Space group Pmmm (No. 47)
Unique sites:
Co (0.0000, 0.0000, 0.0000)  8 Os 2.58, 2 Co 2.66, 2 Au 2.84
Os (0.5000, 0.5000, 0.2154)  3 Os 2.45-2.66, 4 Co 2.58
Au (0.0000, 0.0000, 0.5000)  2 Au 2.66, 8 Os 2.79, 2 Co 2.84

Calculated values
E_form: 0.563 eV per atom
magnetization: 1.8 μB/cell
excess energy over the best structure of this formula in the dataset: 0.51 eV/f.u.


No. 5
Compound: Co2OsAu
Source: the Alexandria database
Functional: meta-GGA SCAN
Structure: PBEsol geometry

Cell lengths 3.0345, 3.0345, 5.6360 Å; angles 90.00, 90.00, 90.00 degrees
Last column: nearest neighbours and their distance in Å.
Space group P4/mmm (No. 123)
Unique sites:
Co (0.0000, 0.0000, 0.2218)  4 Os 2.48, 1 Co 2.50, 4 Au 2.66
Os (0.5000, 0.5000, 0.0000)  8 Co 2.48
Au (0.5000, 0.5000, 0.5000)  8 Co 2.66, 2 Os 2.82

Calculated values
E_form: 0.310 eV per atom
magnetization: 3.8 μB/cell
excess energy over the best structure of this formula in the dataset: 0.00 eV/f.u.


No. 6
Compound: CoOs2Au
Source: the Alexandria database
Functional: meta-GGA SCAN
Structure: PBEsol geometry

Cell lengths 5.2649, 9.2736, 2.6866 Å; angles 90.00, 119.56, 90.00 degrees
Last column: nearest neighbours and their distance in Å.
Space group C2/m (No. 12)
Unique sites:
Co (0.0000, 0.0000, 0.0000)  4 Au 2.63-2.68, 4 Os 2.68, 2 Co 2.69
Os (0.2500, 0.2500, 0.5000)  6 Os 2.63-2.69, 2 Co 2.68, 2 Au 2.68
Au (0.0000, 0.5000, 0.0000)  4 Co 2.63-2.68, 4 Os 2.68, 2 Au 2.69

Calculated values
E_form: 0.590 eV per atom
magnetization: 6.9 μB/cell
excess energy over the best structure of this formula in the dataset: 0.62 eV/f.u.


No. 7
Compound: CoOs2Au
Source: the Alexandria database
Functional: meta-GGA SCAN
Structure: PBEsol geometry

Cell lengths 2.7426, 4.5793, 9.1498 Å; angles 90.00, 90.00, 90.00 degrees
Last column: nearest neighbours and their distance in Å.
Space group Cmm2 (No. 35)
Unique sites:
Co (0.0000, 0.0000, 0.0000)  2 Os 2.49, 2 Au 2.66, 6 Co 2.67-2.74
Os (0.0000, 0.0000, 0.4728)  8 Os 2.63-2.74, 2 Au 2.89
Os (0.0000, 0.5000, 0.2277)  2 Co 2.49, 8 Os 2.63-2.74
Au (0.0000, 0.5000, 0.7512)  2 Co 2.66, 6 Au 2.67-2.74, 2 Os 2.89

Calculated values
E_form: 0.533 eV per atom
magnetization: 6.1 μB/cell
excess energy over the best structure of this formula in the dataset: 0.39 eV/f.u.


No. 8
Compound: CoOs2Au
Source: the Alexandria database
Functional: meta-GGA SCAN
Structure: PBEsol geometry

Cell lengths 8.8623, 2.7160, 4.6775 Å; angles 90.00, 100.12, 90.00 degrees
Last column: nearest neighbours and their distance in Å.
Space group Cm (No. 8)
Unique sites:
Co (0.0000, 0.0000, 0.0000)  5 Os 2.54-2.75, 3 Au 2.64-2.70, 2 Co 2.72
Os (0.0118, 0.5000, 0.5449)  2 Co 2.54, 5 Os 2.59-2.72, 3 Au 2.76-2.82
Os (0.2580, 0.0000, 0.7492)  5 Os 2.59-2.72, 3 Co 2.63-2.75, 4 Au 2.69-2.72
Au (0.2534, 0.5000, 0.2442)  3 Co 2.64-2.70, 7 Os 2.69-2.82, 2 Au 2.72

Calculated values
E_form: 0.435 eV per atom
magnetization: 3.8 μB/cell
excess energy over the best structure of this formula in the dataset: 0.00 eV/f.u.